No. 1
An optimized crystal structure of SrLiPrHg, computed with PBE.

Summary:
For the mass density, the calculation gives 6.0 Mg/m³. For the formation energy, the calculation gives -80 kJ/mol of formula units. Its total energy is -9.5 eV per cell. The spin magnetization is 0.000 μB per cell.

abc: 5.5510 5.5510 5.5510
angles: 60.00 60.00 60.00
With the nearest neighbours (Å) after each atom.
Fractional coordinates of all 4 atoms:
Sr  0.0000  0.0000  0.0000  4 Li 3.40, 4 Hg 3.40
Li  0.7500  0.7500  0.7500  4 Pr 3.40, 4 Sr 3.40
Pr  0.5000  0.5000  0.5000  4 Li 3.40, 4 Hg 3.40
Hg  0.2500  0.2500  0.2500  4 Pr 3.40, 4 Sr 3.40

No. 2
An optimized crystal structure of Sr3Li2Pr2Hg4, computed with PBE.

Summary:
For the mass density, the calculation gives 6.4 Mg/m³. For the formation energy, the calculation gives -289 kJ/mol of formula units. Its total energy is -22.6 eV per cell. The spin magnetization is 0.000 μB per cell.

abc: 5.2068 5.2068 15.1140
angles: 90.00 90.00 120.00
With the nearest neighbours (Å) after each atom.
Fractional coordinates of all 11 atoms:
Sr  0.0000  0.0000  0.0000  6 Hg 3.60, 6 Li 3.73, 2 Sr 3.94
Sr  0.0000  0.0000  0.2607  6 Hg 3.36-3.59, 3 Li 3.47
Sr  0.0000  0.0000  0.7393  6 Hg 3.36-3.59, 3 Li 3.47
Li  0.3333  0.6667  0.1460  4 Hg 3.01-3.24
Li  0.6667  0.3333  0.8540  4 Hg 3.01-3.24
Pr  0.3333  0.6667  0.5684  4 Hg 3.15-3.19
Pr  0.6667  0.3333  0.4316  4 Hg 3.15-3.19
Hg  0.3333  0.6667  0.3601  4 Pr 3.15-3.19, 1 Li 3.24, 3 Sr 3.36
Hg  0.3333  0.6667  0.8686  3 Li 3.01
Hg  0.6667  0.3333  0.1314  3 Li 3.01
Hg  0.6667  0.3333  0.6399  4 Pr 3.15-3.19, 1 Li 3.24, 3 Sr 3.36

No. 3
An optimized crystal structure of Li2TbPrHg4, computed with PBE.

Summary:
For the mass density, the calculation gives 9.8 Mg/m³. For the formation energy, the calculation gives -345 kJ/mol of formula units. Its total energy is -18.0 eV per cell. The spin magnetization is 0.000 μB per cell.

abc: 8.8884 8.8884 8.8884
angles: 33.30 33.30 33.30
With the nearest neighbours (Å) after each atom.
Fractional coordinates of all 8 atoms:
Li  0.2480  0.2480  0.2480  8 Hg 3.04-3.28
Li  0.7520  0.7520  0.7520  8 Hg 3.04-3.28
Tb  0.5000  0.5000  0.5000  8 Hg 3.06-3.10
Pr  0.0000  0.0000  0.0000  8 Hg 3.15-3.20
Hg  0.1272  0.1272  0.1272  4 Li 3.04-3.12, 3 Tb 3.10, 1 Pr 3.20
Hg  0.3785  0.3785  0.3785  1 Tb 3.06, 4 Li 3.11-3.28, 3 Pr 3.15
Hg  0.6215  0.6215  0.6215  1 Tb 3.06, 4 Li 3.11-3.28, 3 Pr 3.15
Hg  0.8728  0.8728  0.8728  4 Li 3.04-3.12, 3 Tb 3.10, 1 Pr 3.20

No. 4
An optimized crystal structure of LiTbPrHg, computed with PBE.

Summary:
For the mass density, the calculation gives 7.8 Mg/m³. For the formation energy, the calculation gives -78 kJ/mol of formula units. Its total energy is -12.4 eV per cell. The spin magnetization is 0.520 μB per cell.

abc: 5.3402 5.3402 5.3402
angles: 60.00 60.00 60.00
With the nearest neighbours (Å) after each atom.
Fractional coordinates of all 4 atoms:
Li  0.0000  0.0000  0.0000  4 Tb 3.27, 4 Pr 3.27
Tb  0.7500  0.7500  0.7500  4 Hg 3.27, 4 Li 3.27
Pr  0.2500  0.2500  0.2500  4 Hg 3.27, 4 Li 3.27
Hg  0.5000  0.5000  0.5000  4 Tb 3.27, 4 Pr 3.27